Record 1
VASP calculation (PBE-GGA) on a relaxed CePm4Pr3Se8 crystal.

Output
D(E_F)   0.86 states/eV/atom
Final energy   -96.55 eV/cell

a = 8.452 Å, b = 8.452 Å, c = 8.452 Å
α = 59.93°, β = 59.93°, γ = 59.93°
Positions (direct):
Ce  0.000  0.000  0.000
Pm  0.000  0.000  0.500
Pm  0.000  0.500  0.000
Pm  0.500  0.000  0.000
Pm  0.500  0.500  0.500
Pr  0.000  0.500  0.500
Pr  0.500  0.000  0.500
Pr  0.500  0.500  0.000
Se  0.246  0.750  0.750
Se  0.248  0.248  0.248
Se  0.250  0.250  0.754
Se  0.250  0.754  0.250
Se  0.750  0.246  0.750
Se  0.750  0.750  0.246
Se  0.752  0.752  0.752
Se  0.754  0.250  0.250


Record 2
VASP calculation (PBE-GGA) on a relaxed CePm2PrSe4 crystal.

Output
D(E_F)   1.15 states/eV/atom
Final energy   -48.86 eV/cell

a = 7.309 Å, b = 4.191 Å, c = 7.324 Å
α = 90.00°, β = 109.16°, γ = 90.00°
Positions (direct):
Ce  0.000  0.000  0.000
Pm  0.000  0.500  0.500
Pm  0.500  0.000  0.500
Pr  0.500  0.500  0.000
Se  0.246  0.000  0.746
Se  0.248  0.500  0.252
Se  0.752  0.500  0.748
Se  0.754  0.000  0.254


Record 3
VASP calculation (PBE-GGA) on a relaxed CePm3Pr4Se8 crystal.

Output
D(E_F)   0.85 states/eV/atom
Final energy   -96.62 eV/cell

a = 8.471 Å, b = 8.471 Å, c = 8.471 Å
α = 59.88°, β = 59.88°, γ = 59.88°
Positions (direct):
Ce  0.000  0.000  0.000
Pm  0.000  0.500  0.500
Pm  0.500  0.000  0.500
Pm  0.500  0.500  0.000
Pr  0.000  0.000  0.500
Pr  0.000  0.500  0.000
Pr  0.500  0.000  0.000
Pr  0.500  0.500  0.500
Se  0.247  0.247  0.748
Se  0.247  0.748  0.247
Se  0.252  0.252  0.252
Se  0.252  0.753  0.753
Se  0.748  0.247  0.247
Se  0.748  0.748  0.748
Se  0.753  0.252  0.753
Se  0.753  0.753  0.252